Density functional theory data (PBE) for Sm4EuS5 after structural relaxation.

The crystal system is trigonal. The calculation puts the formation energy from raw total energies at -2.059 eV/atom. Its raw total energy is -70.4 eV per cell. The total magnetization is 6.9 μB per cell.

Unit cell a=16.5311 b=16.5311 c=16.5311 alpha=14.05 beta=14.05 gamma=14.05
With the nearest neighbours (Å) after each atom.
Sites, in units of the cell vectors:
Eu 0.0000 0.0000 0.0000  6 S 2.90
S 0.7017 0.7017 0.7017  3 Sm 2.86, 3 Eu 2.90
S 0.5000 0.5000 0.5000  6 Sm 2.84
S 0.1010 0.1010 0.1010  6 Sm 2.82-2.84
S 0.2983 0.2983 0.2983  3 Sm 2.86, 3 Eu 2.90
S 0.8990 0.8990 0.8990  6 Sm 2.82-2.84
Sm 0.5980 0.5980 0.5980  6 S 2.82-2.86
Sm 0.1995 0.1995 0.1995  6 S 2.84
Sm 0.8005 0.8005 0.8005  6 S 2.84
Sm 0.4020 0.4020 0.4020  6 S 2.82-2.86